# MnPOF2, relaxed, DFT GGA+U
data_MnPOF2
_chemical_formula_sum 'Mn1 P1 O1 F2'
_space_group_name_H-M_alt 'P 4/m m m'
_space_group_IT_number 123
_space_group_name_Hall '-P 4 2'
_cell_length_a 4.030
_cell_length_b 4.030
_cell_length_c 4.010
_cell_angle_alpha 90.00
_cell_angle_beta 90.00
_cell_angle_gamma 90.00
loop_
_atom_site_label
_atom_site_type_symbol
_atom_site_fract_x
_atom_site_fract_y
_atom_site_fract_z
Mn1 Mn 0.000 0.000 0.000
P1 P 0.500 0.500 0.500
O1 O 0.000 0.000 0.500
F1 F 0.000 0.500 0.000
# Uncorrected energy: -26.0 eV/cell